<one>
# AlCuTe, optimized geometry, DFT PBE-GGA
# Crystal system: cubic
data_AlCuTe
_chemical_formula_sum 'Al1 Cu1 Te1'
_symmetry_space_group_name_H-M 'P 1'
_symmetry_Int_Tables_number 1
_cell_length_a 4.515
_cell_length_b 4.515
_cell_length_c 4.515
_cell_angle_alpha 60.00
_cell_angle_beta 60.00
_cell_angle_gamma 60.00
loop_
_symmetry_equiv_pos_as_xyz
'x,y,z'
loop_
_atom_site_label
_atom_site_type_symbol
_atom_site_fract_x
_atom_site_fract_y
_atom_site_fract_z
Te1 Te 0.000 0.000 0.000
Al1 Al 0.500 0.500 0.500
Cu1 Cu 0.750 0.750 0.750

<two>
# AlCuTe, optimized geometry, DFT PBE-GGA
# Crystal system: orthorhombic
data_AlCuTe
_chemical_formula_sum 'Al2 Cu2 Te2'
_symmetry_space_group_name_H-M 'P 1'
_symmetry_Int_Tables_number 1
_cell_length_a 3.166
_cell_length_b 3.190
_cell_length_c 13.756
_cell_angle_alpha 90.00
_cell_angle_beta 90.00
_cell_angle_gamma 119.75
loop_
_symmetry_equiv_pos_as_xyz
'x,y,z'
loop_
_atom_site_label
_atom_site_type_symbol
_atom_site_fract_x
_atom_site_fract_y
_atom_site_fract_z
Al1 Al 0.515 0.030 0.000
Al2 Al 0.243 0.486 0.500
Te1 Te 0.771 0.541 0.299
Te2 Te 0.771 0.541 0.701
Cu1 Cu 0.184 0.367 0.871
Cu2 Cu 0.184 0.367 0.129

Most stable: <one> (next structure +176 meV/atom)

<one>
# AlCuTe, optimized geometry, DFT PBE-GGA
# Crystal system: trigonal
data_AlCuTe
_chemical_formula_sum 'Al1 Cu1 Te1'
_symmetry_space_group_name_H-M 'P 1'
_symmetry_Int_Tables_number 1
_cell_length_a 3.920
_cell_length_b 3.920
_cell_length_c 4.579
_cell_angle_alpha 90.00
_cell_angle_beta 90.00
_cell_angle_gamma 120.00
loop_
_symmetry_equiv_pos_as_xyz
'x,y,z'
loop_
_atom_site_label
_atom_site_type_symbol
_atom_site_fract_x
_atom_site_fract_y
_atom_site_fract_z
Te1 Te 0.333 0.667 0.634
Al1 Al 0.000 0.000 0.047
Cu1 Cu 0.667 0.333 0.319

<two>
# AlCuTe, optimized geometry, DFT PBE-GGA
# Crystal system: orthorhombic
data_AlCuTe
_chemical_formula_sum 'Al1 Cu1 Te1'
_symmetry_space_group_name_H-M 'P 1'
_symmetry_Int_Tables_number 1
_cell_length_a 6.283
_cell_length_b 6.293
_cell_length_c 3.166
_cell_angle_alpha 75.25
_cell_angle_beta 75.59
_cell_angle_gamma 29.16
loop_
_symmetry_equiv_pos_as_xyz
'x,y,z'
loop_
_atom_site_label
_atom_site_type_symbol
_atom_site_fract_x
_atom_site_fract_y
_atom_site_fract_z
Te1 Te 0.676 0.676 0.324
Al1 Al 0.967 0.967 0.033
Cu1 Cu 0.357 0.357 0.643

<three>
# AlCuTe, optimized geometry, DFT PBE-GGA
# Crystal system: tetragonal
data_AlCuTe
_chemical_formula_sum 'Al2 Cu2 Te2'
_symmetry_space_group_name_H-M 'P 1'
_symmetry_Int_Tables_number 1
_cell_length_a 3.801
_cell_length_b 3.801
_cell_length_c 8.733
_cell_angle_alpha 90.00
_cell_angle_beta 90.00
_cell_angle_gamma 90.00
loop_
_symmetry_equiv_pos_as_xyz
'x,y,z'
loop_
_atom_site_label
_atom_site_type_symbol
_atom_site_fract_x
_atom_site_fract_y
_atom_site_fract_z
Te1 Te 0.000 0.500 0.192
Te2 Te 0.500 0.000 0.808
Al1 Al 0.000 0.000 0.500
Al2 Al 0.500 0.500 0.500
Cu1 Cu 0.000 0.500 0.695
Cu2 Cu 0.500 0.000 0.305

Most stable: <three> (next structure +17 meV/atom)

<one>
# AlCuTe3, optimized geometry, DFT PBE-GGA
# Crystal system: cubic
data_AlCuTe3
_chemical_formula_sum 'Al1 Cu1 Te3'
_symmetry_space_group_name_H-M 'P 1'
_symmetry_Int_Tables_number 1
_cell_length_a 5.164
_cell_length_b 5.164
_cell_length_c 5.164
_cell_angle_alpha 90.00
_cell_angle_beta 90.00
_cell_angle_gamma 90.00
loop_
_symmetry_equiv_pos_as_xyz
'x,y,z'
loop_
_atom_site_label
_atom_site_type_symbol
_atom_site_fract_x
_atom_site_fract_y
_atom_site_fract_z
Te1 Te 0.000 0.500 0.000
Te2 Te 0.000 0.000 0.500
Te3 Te 0.500 0.000 0.000
Al1 Al 0.500 0.500 0.500
Cu1 Cu 0.000 0.000 0.000

<two>
# AlCuTe3, optimized geometry, DFT PBE-GGA
# Crystal system: monoclinic
data_AlCuTe3
_chemical_formula_sum 'Al1 Cu1 Te3'
_symmetry_space_group_name_H-M 'P 1'
_symmetry_Int_Tables_number 1
_cell_length_a 4.026
_cell_length_b 6.649
_cell_length_c 6.648
_cell_angle_alpha 64.50
_cell_angle_beta 70.43
_cell_angle_gamma 70.45
loop_
_symmetry_equiv_pos_as_xyz
'x,y,z'
loop_
_atom_site_label
_atom_site_type_symbol
_atom_site_fract_x
_atom_site_fract_y
_atom_site_fract_z
Al1 Al 0.512 0.237 0.765
Cu1 Cu 0.012 0.888 0.114
Te1 Te 0.334 0.112 0.217
Te2 Te 0.013 0.477 0.525
Te3 Te 0.689 0.786 0.890

Most stable: <two> (next structure +605 meV/atom)

<one>
# ThAl2Cu3, optimized geometry, DFT PBE-GGA
# Crystal system: hexagonal
data_ThAl2Cu3
_chemical_formula_sum 'Th2 Al4 Cu6'
_symmetry_space_group_name_H-M 'P 1'
_symmetry_Int_Tables_number 1
_cell_length_a 4.172
_cell_length_b 4.172
_cell_length_c 13.736
_cell_angle_alpha 90.00
_cell_angle_beta 90.00
_cell_angle_gamma 120.00
loop_
_symmetry_equiv_pos_as_xyz
'x,y,z'
loop_
_atom_site_label
_atom_site_type_symbol
_atom_site_fract_x
_atom_site_fract_y
_atom_site_fract_z
Th1 Th 0.000 0.000 0.250
Th2 Th 0.000 0.000 0.750
Al1 Al 0.667 0.333 0.416
Al2 Al 0.333 0.667 0.584
Al3 Al 0.333 0.667 0.916
Al4 Al 0.667 0.333 0.084
Cu1 Cu 0.000 0.000 0.500
Cu2 Cu 0.000 0.000 0.000
Cu3 Cu 0.667 0.333 0.604
Cu4 Cu 0.333 0.667 0.104
Cu5 Cu 0.667 0.333 0.896
Cu6 Cu 0.333 0.667 0.396

<two>
# ThAl2Cu3, optimized geometry, DFT PBE-GGA
# Crystal system: orthorhombic
data_ThAl2Cu3
_chemical_formula_sum 'Th2 Al4 Cu6'
_symmetry_space_group_name_H-M 'P 1'
_symmetry_Int_Tables_number 1
_cell_length_a 5.228
_cell_length_b 6.314
_cell_length_c 6.314
_cell_angle_alpha 100.22
_cell_angle_beta 90.00
_cell_angle_gamma 90.00
loop_
_symmetry_equiv_pos_as_xyz
'x,y,z'
loop_
_atom_site_label
_atom_site_type_symbol
_atom_site_fract_x
_atom_site_fract_y
_atom_site_fract_z
Th1 Th 0.250 0.309 0.309
Th2 Th 0.750 0.691 0.691
Al1 Al 0.500 0.787 0.213
Al2 Al 0.000 0.787 0.213
Al3 Al 0.000 0.213 0.787
Al4 Al 0.500 0.213 0.787
Cu1 Cu 0.750 0.457 0.106
Cu2 Cu 0.750 0.106 0.457
Cu3 Cu 0.250 0.543 0.894
Cu4 Cu 0.750 0.064 0.064
Cu5 Cu 0.250 0.936 0.936
Cu6 Cu 0.250 0.894 0.543

Most stable: <two> (next structure +24 meV/atom)

<one>
# Th2Al5Cu3, optimized geometry, DFT PBE-GGA
# Crystal system: orthorhombic
data_Th2Al5Cu3
_chemical_formula_sum 'Th4 Al10 Cu6'
_symmetry_space_group_name_H-M 'P 1'
_symmetry_Int_Tables_number 1
_cell_length_a 5.981
_cell_length_b 8.473
_cell_length_c 8.473
_cell_angle_alpha 76.10
_cell_angle_beta 69.33
_cell_angle_gamma 69.33
loop_
_symmetry_equiv_pos_as_xyz
'x,y,z'
loop_
_atom_site_label
_atom_site_type_symbol
_atom_site_fract_x
_atom_site_fract_y
_atom_site_fract_z
Th1 Th 0.129 0.620 0.122
Th2 Th 0.629 0.122 0.620
Th3 Th 0.871 0.380 0.878
Th4 Th 0.371 0.878 0.380
Al1 Al 0.385 0.252 0.978
Al2 Al 0.885 0.978 0.252
Al3 Al 0.615 0.748 0.022
Al4 Al 0.115 0.022 0.748
Al5 Al 0.504 0.746 0.746
Al6 Al 0.496 0.254 0.254
Al7 Al 0.750 0.500 0.500
Al8 Al 0.250 0.500 0.500
Al9 Al 0.996 0.254 0.254
Al10 Al 0.004 0.746 0.746
Cu1 Cu 0.376 0.493 0.754
Cu2 Cu 0.876 0.754 0.493
Cu3 Cu 0.624 0.507 0.246
Cu4 Cu 0.124 0.246 0.507
Cu5 Cu 0.250 0.000 0.000
Cu6 Cu 0.750 0.000 0.000

<two>
# Th2Al5Cu3, optimized geometry, DFT PBE-GGA
# Crystal system: tetragonal
data_Th2Al5Cu3
_chemical_formula_sum 'Th2 Al5 Cu3'
_symmetry_space_group_name_H-M 'P 1'
_symmetry_Int_Tables_number 1
_cell_length_a 4.256
_cell_length_b 4.256
_cell_length_c 10.387
_cell_angle_alpha 90.00
_cell_angle_beta 90.00
_cell_angle_gamma 90.00
loop_
_symmetry_equiv_pos_as_xyz
'x,y,z'
loop_
_atom_site_label
_atom_site_type_symbol
_atom_site_fract_x
_atom_site_fract_y
_atom_site_fract_z
Th1 Th 0.500 0.000 0.262
Th2 Th 0.000 0.500 0.738
Al1 Al 0.500 0.500 0.000
Al2 Al 0.000 0.000 0.000
Al3 Al 0.500 0.000 0.845
Al4 Al 0.000 0.500 0.155
Al5 Al 0.500 0.500 0.500
Cu1 Cu 0.500 0.000 0.619
Cu2 Cu 0.000 0.500 0.381
Cu3 Cu 0.000 0.000 0.500

Most stable: <one> (next structure +113 meV/atom)